Here is PaGeRuN after structural relaxation from the Alexandria database. Energies are from PBE.

VASP energy in eV per atom: -8.940

Lattice parameters (Å, degrees): 4.1026 4.1026 7.7025 90.00 90.00 90.00
Closest atoms and distances in Å follow each position.
Space group P4/nmm (No. 129, origin choice 2)
Unique sites:
Pa: 0.2500 0.2500 0.1430 [2 per cell]  4 N 2.33
Ge: 0.2500 0.2500 0.6708 [2 per cell]  4 Ru 2.44
Ru: 0.2500 0.7500 0.5000 [2 per cell]  4 Ge 2.44
N: 0.2500 0.7500 0.0000 [2 per cell]  4 Pa 2.33

Here is Pa2GeRuN5 after structural relaxation from the Alexandria database. Energies are from PBE.

VASP energy in eV per atom: -9.040

Lattice parameters (Å, degrees): 3.2944 13.5479 9.7350 90.00 90.00 90.00
Closest atoms and distances in Å follow each position.
Space group Cmc2_1 (No. 36)
Unique sites:
Pa: 0.0000 0.1160 0.0000 [4 per cell]  5 N 2.28-2.49
Pa: 0.0000 0.1431 0.6363 [4 per cell]  7 N 2.36-2.56
Ge: 0.0000 0.4467 0.7791 [4 per cell]  4 N 1.87-1.98
Ru: 0.0000 0.2201 0.3561 [4 per cell]  6 N 2.13-2.20
N: 0.0000 0.0583 0.3776 [4 per cell]  2 Ge 1.91
N: 0.0000 0.2846 0.9954 [4 per cell]  2 Ru 2.13, 3 Pa 2.28-2.36
N: 0.0000 0.3087 0.7113 [4 per cell]  1 Ge 1.98, 2 Ru 2.20
N: 0.0000 0.3763 0.3255 [4 per cell]  1 Ru 2.14, 2 Pa 2.37
N: 0.0000 0.4994 0.1024 [4 per cell]  1 Ge 1.87

Here is PaGeSe2N after structural relaxation from the Alexandria database. Energies are from PBE.

VASP energy in eV per atom: -7.017

Lattice parameters (Å, degrees): 3.8788 3.8788 13.7107 90.00 90.00 90.00
Closest atoms and distances in Å follow each position.
Space group P4/nmm (No. 129, origin choice 2)
Unique sites:
Pa: 0.2500 0.2500 0.0889 [2 per cell]  4 N 2.29
Ge: 0.2500 0.2500 0.5925 [2 per cell]  6 Se 2.68-2.94
Se: 0.2500 0.2500 0.3969 [2 per cell]  5 Ge 2.68-2.75
Se: 0.2500 0.2500 0.8072 [2 per cell]  1 Ge 2.94, 4 Pa 3.09, 4 N 3.28
N: 0.2500 0.7500 0.0000 [2 per cell]  4 Pa 2.29

Here is Sm2Pa4Ge3N2 after structural relaxation from the Alexandria database. Energies are from PBE.

VASP energy in eV per atom: -7.942

Lattice parameters (Å, degrees): 4.5844 4.5844 23.8056 90.00 90.00 90.00
Closest atoms and distances in Å follow each position.
Space group I4/mmm (No. 139)
Unique sites:
Sm: 0.0000 0.0000 0.1993 [4 per cell]  1 N 2.59
Pa: 0.0000 0.5000 0.0817 [8 per cell]  2 N 2.30
Ge: 0.0000 0.0000 0.3289 [4 per cell]  5 Sm 3.08-3.31, 4 Pa 3.13
Ge: 0.0000 0.0000 0.5000 [2 per cell]  8 Pa 3.01
N: 0.0000 0.0000 0.0905 [4 per cell]  4 Pa 2.30

Here is Sm2PaGeN5 after structural relaxation from the Alexandria database. Energies are from PBE.

VASP energy in eV per atom: -8.333

Lattice parameters (Å, degrees): 3.4076 15.3276 9.9035 90.00 90.00 90.00
Closest atoms and distances in Å follow each position.
Space group Cmc2_1 (No. 36)
Unique sites:
Sm: 0.0000 0.1040 0.0000 [4 per cell]  7 N 2.50-2.75
Sm: 0.0000 0.1131 0.6318 [4 per cell]  6 N 2.42-2.67
Pa: 0.0000 0.2133 0.3353 [4 per cell]  5 N 2.22-2.31
Ge: 0.0000 0.4520 0.7713 [4 per cell]  4 N 1.84-2.01
N: 0.0000 0.0479 0.3689 [4 per cell]  2 Ge 1.96
N: 0.0000 0.2935 0.9827 [4 per cell]  2 Pa 2.25
N: 0.0000 0.3308 0.6932 [4 per cell]  1 Ge 2.01
N: 0.0000 0.3577 0.3255 [4 per cell]  1 Pa 2.22
N: 0.0000 0.4975 0.1032 [4 per cell]  1 Ge 1.84

Here is Pa2SnGeN5 after structural relaxation from the Alexandria database. Energies are from PBE.

VASP energy in eV per atom: -8.432

Lattice parameters (Å, degrees): 3.4404 17.0881 10.2010 90.00 90.00 90.00
Closest atoms and distances in Å follow each position.
Space group Cmc2_1 (No. 36)
Unique sites:
Pa: 0.0000 0.1245 0.0000 [4 per cell]  6 N 2.24-2.46
Pa: 0.0000 0.1760 0.6698 [4 per cell]  4 N 2.18-2.33
Sn: 0.0000 0.1918 0.3457 [4 per cell]  2 N 2.19-2.31
Ge: 0.0000 0.4825 0.2161 [4 per cell]  4 N 1.86-1.98
N: 0.0000 0.0403 0.8046 [4 per cell]  2 Ge 1.98
N: 0.0000 0.2333 0.1429 [4 per cell]  1 Sn 2.19, 3 Pa 2.33-2.36
N: 0.0000 0.3257 0.3784 [4 per cell]  2 Pa 2.29, 1 Sn 2.31
N: 0.0000 0.3934 0.1074 [4 per cell]  1 Ge 1.88
N: 0.0000 0.4301 0.6078 [4 per cell]  1 Ge 1.86

Here is PaSnGeN after structural relaxation from the Alexandria database. Energies are from PBE.

VASP energy in eV per atom: -7.445

Lattice parameters (Å, degrees): 3.9745 3.9745 38.4977 90.00 90.00 120.00
Closest atoms and distances in Å follow each position.
Space group R-3m (No. 166, hexagonal axes)
Unique sites:
Pa: 0.0000 0.0000 0.1295 [6 per cell]  4 N 2.24-2.38
Sn: 0.0000 0.0000 0.2923 [6 per cell]  3 Ge 2.74
Ge: 0.0000 0.0000 0.4130 [6 per cell]  3 Sn 2.74, 3 Pa 2.99
N: 0.0000 0.0000 0.1878 [6 per cell]  4 Pa 2.24-2.38

Here is SrPa4Ge3N12 after structural relaxation from the Alexandria database. Energies are from PBE.

VASP energy in eV per atom: -8.282

Lattice parameters (Å, degrees): 8.2465 8.2465 8.2465 90.00 90.00 90.00
Closest atoms and distances in Å follow each position.
Space group Im-3 (No. 204)
Unique sites:
Sr: 0.0000 0.0000 0.0000 [2 per cell]  12 N 2.98
Pa: 0.2500 0.2500 0.2500 [8 per cell]  6 N 2.28
Ge: 0.0000 0.0000 0.5000 [6 per cell]  4 N 1.95
N: 0.0000 0.1586 0.3248 [24 per cell]  1 Ge 1.95

Here is SrPa2GeN5 after structural relaxation from the Alexandria database. Energies are from PBE.

VASP energy in eV per atom: -8.542

Lattice parameters (Å, degrees): 6.6784 6.6784 11.3358 90.00 90.00 90.00
Closest atoms and distances in Å follow each position.
Space group I4/mcm (No. 140)
Unique sites:
Sr: 0.0000 0.0000 0.2500 [4 per cell]  10 N 2.83-2.87
Pa: 0.1845 0.3155 0.0000 [8 per cell]  4 N 2.23-2.44
Ge: 0.0000 0.5000 0.2500 [4 per cell]  4 N 1.88
N: 0.0000 0.0000 0.0000 [4 per cell]  4 Pa 2.44
N: 0.1444 0.3556 0.3642 [16 per cell]  1 Ge 1.88

Here is Sr2PaGe2N6 after structural relaxation from the Alexandria database. Energies are from PBE.

VASP energy in eV per atom: -7.091

Lattice parameters (Å, degrees): 6.0118 6.0118 17.8226 90.00 90.00 120.00
Closest atoms and distances in Å follow each position.
Space group R-3m (No. 166, hexagonal axes)
Unique sites:
Sr: 0.0000 0.0000 0.2040 [6 per cell]  3 N 2.72
Pa: 0.0000 0.0000 0.0000 [3 per cell]  6 N 2.26
Ge: 0.0000 0.0000 0.4156 [6 per cell]  3 N 1.78
N: 0.0087 0.5044 0.7507 [18 per cell]  1 Ge 1.78

Here is Pa2TaGeN6 after structural relaxation from the Alexandria database. Energies are from PBE.

VASP energy in eV per atom: -9.427

Lattice parameters (Å, degrees): 5.2652 5.2652 4.9153 90.00 90.00 90.00
Closest atoms and distances in Å follow each position.
Space group P4mm (No. 99)
Unique sites:
Pa: 0.0000 0.5000 0.0000 [2 per cell]  4 N 2.30
Ta: 0.0000 0.0000 0.5744 [1 per cell]  5 N 1.93-2.03
Ge: 0.5000 0.5000 0.5712 [1 per cell]  5 N 1.84-1.98
N: 0.0000 0.0000 0.1827 [1 per cell]  1 Ta 1.93
N: 0.2541 0.2541 0.7264 [4 per cell]  1 Ge 1.98, 1 Ta 2.03
N: 0.5000 0.5000 0.1960 [1 per cell]  1 Ge 1.84

Here is Pa2TaGeN5 after structural relaxation from the Alexandria database. Energies are from PBE.

VASP energy in eV per atom: -9.578

Lattice parameters (Å, degrees): 3.1997 14.0490 9.9714 90.00 90.00 90.00
Closest atoms and distances in Å follow each position.
Space group Cmc2_1 (No. 36)
Unique sites:
Pa: 0.0000 0.1254 0.0000 [4 per cell]  7 N 2.40-2.51
Pa: 0.0000 0.1379 0.5783 [4 per cell]  5 N 2.35-2.50
Ta: 0.0000 0.2240 0.2914 [4 per cell]  6 N 2.15-2.31
Ge: 0.0000 0.4904 0.7655 [4 per cell]  4 N 1.89-1.92
N: 0.0000 0.0627 0.3345 [4 per cell]  2 Ge 1.89
N: 0.0000 0.2903 0.9388 [4 per cell]  2 Ta 2.18, 3 Pa 2.35-2.40
N: 0.0000 0.3047 0.6493 [4 per cell]  2 Ta 2.17, 2 Pa 2.40
N: 0.0000 0.3768 0.3089 [4 per cell]  1 Ge 1.92
N: 0.0000 0.4984 0.0760 [4 per cell]  1 Ge 1.90

Number 1: magnetization 0.00 μB per cell, calculated volume 16.21 Å³ per atom, formation energy from raw total energies -1.012 eV per atom. Number 2: magnetization 0.00 μB per cell, calculated volume 12.07 Å³ per atom, formation energy from raw total energies -0.761 eV per atom. Number 3: magnetization 0.00 μB per cell, calculated volume 20.63 Å³ per atom, formation energy from raw total energies -1.136 eV per atom. Number 4: magnetization 0.00 μB per cell, calculated volume 22.74 Å³ per atom, formation energy from raw total energies -0.858 eV per atom. Number 5: magnetization 0.00 μB per cell, calculated volume 14.37 Å³ per atom, formation energy from raw total energies -1.091 eV per atom. Number 6: magnetization 0.00 μB per cell, calculated volume 16.66 Å³ per atom, formation energy from raw total energies -0.739 eV per atom. Number 7: magnetization 0.00 μB per cell, calculated volume 21.94 Å³ per atom, formation energy from raw total energies -0.835 eV per atom. Number 8: magnetization 0.00 μB per cell, calculated volume 14.02 Å³ per atom, formation energy from raw total energies -0.611 eV per atom. Number 9: magnetization 2.94 μB per cell, calculated volume 14.04 Å³ per atom, formation energy from raw total energies -1.107 eV per atom. Number 10: magnetization 0.00 μB per cell, calculated volume 16.90 Å³ per atom, formation energy from raw total energies -0.542 eV per atom. Number 11: magnetization 0.99 μB per cell, calculated volume 13.63 Å³ per atom, formation energy from raw total energies -0.885 eV per atom. Number 12: magnetization 0.00 μB per cell, calculated volume 12.45 Å³ per atom, formation energy from raw total energies -1.013 eV per atom.